First-principles (GGA-PBE) data for Os2PdPb after structural relaxation, as listed in the Open Quantum Materials Database.

```
4
Lattice="0.0000 3.2287 3.2287 3.2287 0.0000 3.2287 3.2287 3.2287 0.0000" Properties=species:S:1:pos:R:3 pbc="T T T"
Os 0.0000 0.0000 0.0000
Os 4.8431 4.8431 4.8431
Pd 1.6144 1.6144 1.6144
Pb 3.2287 3.2287 3.2287
```

Calculated values
DFT total energy: -7.00 eV/atom
SG: F-43m (216)
Magnetization: 0.00 μB/atom